First-principles (PBE) data for a relaxed NaAcCuPb crystal, as listed in the Alexandria database.

It has space group F-43m (No. 216), with a = 7.730 Å, b = 7.730 Å, c = 7.730 Å, α = 90.00°, β = 90.00° and γ = 90.00°. The distinct sites, in fractional coordinates, are Na at (0.000, 0.000, 0.000), Ac at (0.000, 0.000, 0.500), Cu at (0.250, 0.250, 0.250) and Pb at (0.250, 0.250, 0.750).

Its formation energy is -99 meV/atom. As for the total energy: -3.41 eV per atom. The value obtained for the magnetization is 0.00 μB per formula unit.

***

First-principles (PBE) data for a relaxed LiPr2Zn6 crystal, as listed in the Alexandria database.

It has space group P6/mmm (No. 191), with a = 7.9556 Å, b = 7.9556 Å, c = 3.3915 Å, α = 90.00°, β = 90.00° and γ = 120.00°. The distinct sites, in fractional coordinates, are Li at (0.0000, 0.0000, 0.0000), Pr at (0.3333, 0.6667, 0.0000) and Zn at (0.0000, 0.3187, 0.5000).

Its formation energy is -229 meV/atom. As for the total energy: -2.35 eV per atom. The value obtained for the magnetization is 0.00 μB per formula unit. The relative energy among the computed polymorphs comes out at 6 meV per atom.

***

First-principles (PBE) data for a relaxed CeTmCCl crystal, as listed in the Alexandria database.

It has space group R3m (No. 160, hexagonal axes), with a = 3.5908 Å, b = 3.5908 Å, c = 21.4077 Å, α = 90.00°, β = 90.00° and γ = 120.00°. The distinct sites, in fractional coordinates, are Ce at (0.0000, 0.0000, 0.0000), Tm at (0.0000, 0.0000, 0.7921), C at (0.0000, 0.0000, 0.4012) and Cl at (0.0000, 0.0000, 0.2184).

As for the total energy: -6.41 eV per atom. The value obtained for the magnetization is 0.97 μB per formula unit. The uncorrected formation energy is -1.05 eV per atom.

***

First-principles (PBE) data for a relaxed Sr2GeIrRu crystal, as listed in the Alexandria database.

It has space group P4/mmm (No. 123), with a = 5.655 Å, b = 5.655 Å, c = 4.709 Å, α = 90.00°, β = 90.00° and γ = 90.00°. The distinct sites, in fractional coordinates, are Sr at (0.000, 0.500, 0.000), Ge at (0.000, 0.000, 0.500), Ir at (0.500, 0.500, 0.000) and Ru at (0.500, 0.500, 0.500).

Its formation energy is 444 meV/atom. As for the total energy: -4.78 eV per atom. The value obtained for the magnetization is 0.21 μB per formula unit.

***

First-principles (PBE) data for a relaxed GeP2ClF crystal, as listed in the Alexandria database.

It has space group P4/mmm (No. 123), with a = 4.113 Å, b = 4.113 Å, c = 5.635 Å, α = 90.00°, β = 90.00° and γ = 90.00°. The distinct sites, in fractional coordinates, are Ge at (0.000, 0.000, 0.000), P at (0.000, 0.500, 0.500), Cl at (0.500, 0.500, 0.000) and F at (0.500, 0.500, 0.500).

As for the total energy: -3.44 eV per atom. The value obtained for the magnetization is 0.00 μB per formula unit. The relative energy among the computed polymorphs comes out at 0 meV per atom. The uncorrected formation energy is 0.39 eV per atom.

***

First-principles (PBE) data for a relaxed CaLa2ZnOs crystal, as listed in the Alexandria database.

It has space group P4/mmm (No. 123), with a = 5.531 Å, b = 5.531 Å, c = 5.147 Å, α = 90.00°, β = 90.00° and γ = 90.00°. The distinct sites, in fractional coordinates, are Ca at (0.000, 0.000, 0.000), La at (0.000, 0.500, 0.500), Zn at (0.500, 0.500, 0.000) and Os at (0.500, 0.500, 0.500).

Its formation energy is 7 meV/atom. As for the total energy: -4.87 eV per atom. The value obtained for the magnetization is 0.00 μB per formula unit.

***

First-principles (PBE) data for a relaxed SiAuN crystal, as listed in the Alexandria database.

It has space group P-1 (No. 2), with a = 3.027 Å, b = 5.317 Å, c = 7.038 Å, α = 82.72°, β = 78.52° and γ = 74.51°. The distinct sites, in fractional coordinates, are Si at (0.184, 0.495, 0.147), Au at (0.175, 0.222, 0.438) and N at (0.363, 0.348, 0.910).

As for the total energy: -5.85 eV per atom. The value obtained for the magnetization is 0.00 μB per formula unit. The uncorrected formation energy is -0.18 eV per atom.

***

First-principles (PBE) data for a relaxed Ba2MgCd crystal, as listed in the Alexandria database.

It has space group I-4m2 (No. 119), with a = 5.831 Å, b = 5.831 Å, c = 8.265 Å, α = 90.00°, β = 90.00° and γ = 90.00°. The distinct sites, in fractional coordinates, are Ba at (0.000, 0.000, 0.000), Ba at (0.000, 0.500, 0.250), Mg at (0.000, 0.000, 0.500) and Cd at (0.000, 0.500, 0.750).

Its formation energy is -86 meV/atom. As for the total energy: -1.67 eV per atom. The value obtained for the magnetization is 0.00 μB per formula unit.

***

Sequential calculated volume output: 461.81; 185.90; 239.05; 150.56; 95.32; 157.47; 106.64; 281.06 Å³ per cell